[1]
A relaxed structure of RuNCl3, computed with PBE-GGA.

Computed properties:
Its energy relative to the elements, uncorrected is 1.33 eV/atom. The calculation puts the density at 3558 kg/m³. The density of states at the Fermi level comes out at 8.00 states/eV/f.u. The calculation puts the total energy at -0.242 Ry per atom.

Lattice parameters (Å, degrees): 4.693 4.693 4.693 90.00 90.00 90.00
Space group Pm-3m (No. 221)
Unique sites:
Ru 0.000 0.000 0.000 [1 per cell]
N 0.500 0.500 0.500 [1 per cell]
Cl 0.000 0.000 0.500 [3 per cell]

***

[2]
A relaxed structure of RuNCl3, computed with PBE-GGA.

Computed properties:
Its energy relative to the elements, uncorrected is -0.28 eV/atom. The calculation puts the density at 2544 kg/m³. The density of states at the Fermi level comes out at 3.53 states/eV/f.u. The calculation puts the total energy at -0.361 Ry per atom.

Lattice parameters (Å, degrees): 7.026 6.635 12.402 90.00 90.73 90.00
Space group P2/c (No. 13)
Unique sites:
Ru 0.076 0.128 0.116 [4 per cell]
N 0.021 0.372 0.205 [4 per cell]
Cl 0.104 0.200 0.542 [4 per cell]
Cl 0.213 0.017 0.284 [4 per cell]
Cl 0.352 0.233 0.043 [4 per cell]

***

[3]
A relaxed structure of Ru2N2Cl7, computed with PBE-GGA.

Computed properties:
Its energy relative to the elements, uncorrected is -0.27 eV/atom. The calculation puts the density at 2524 kg/m³. The density of states at the Fermi level comes out at 5.84 states/eV/f.u. The calculation puts the total energy at -0.341 Ry per atom.

Lattice parameters (Å, degrees): 10.695 7.273 8.097 90.00 92.11 90.00
Space group C2/m (No. 12)
Unique sites:
Ru 0.237 0.000 0.015 [4 per cell]
N 0.000 0.077 0.500 [4 per cell]
Cl 0.000 0.000 0.000 [2 per cell]
Cl 0.076 0.500 0.853 [4 per cell]
Cl 0.207 0.276 0.179 [8 per cell]

***

[4]
A relaxed structure of Ru2N2Cl, computed with PBE-GGA.

Computed properties:
Its energy relative to the elements, uncorrected is 1.04 eV/atom. The calculation puts the density at 7089 kg/m³. The density of states at the Fermi level comes out at 6.17 states/eV/f.u. The calculation puts the total energy at -0.468 Ry per atom.

Lattice parameters (Å, degrees): 6.747 6.747 2.734 90.00 90.00 90.00
Space group P4/mbm (No. 127)
Unique sites:
Ru 0.129 0.371 0.000 [4 per cell]
N 0.118 0.618 0.500 [4 per cell]
Cl 0.000 0.000 0.000 [2 per cell]

***

[5]
A relaxed structure of RuN3Cl, computed with PBE-GGA.

Computed properties:
Its energy relative to the elements, uncorrected is 2.88 eV/atom. The calculation puts the density at 6100 kg/m³. The density of states at the Fermi level comes out at 4.07 states/eV/f.u. The calculation puts the total energy at -0.319 Ry per atom.

Lattice parameters (Å, degrees): 3.649 3.649 3.649 90.00 90.00 90.00
Space group Pm-3m (No. 221)
Unique sites:
Ru 0.000 0.000 0.000 [1 per cell]
N 0.000 0.500 0.500 [3 per cell]
Cl 0.500 0.500 0.500 [1 per cell]

***

[6]
A relaxed structure of Ru3NCl, computed with PBE-GGA.

Computed properties:
Its energy relative to the elements, uncorrected is 0.89 eV/atom. The calculation puts the density at 8468 kg/m³. The density of states at the Fermi level comes out at 7.46 states/eV/f.u. The calculation puts the total energy at -0.493 Ry per atom.

Lattice parameters (Å, degrees): 4.105 4.105 4.105 90.00 90.00 90.00
Space group Pm-3m (No. 221)
Unique sites:
Ru 0.000 0.000 0.500 [3 per cell]
N 0.000 0.000 0.000 [1 per cell]
Cl 0.500 0.500 0.500 [1 per cell]